Entry from the Alexandria database: an optimized crystal structure of TbCeAg (PBE). Values from VASP.

Calculated values
Density in g/cm3: 8.64
Offset from the most stable computed form in eV per formula unit: 0.516
DOS(E_F) in states/eV/atom: 2.18

Quantum ESPRESSO input file:
```
&SYSTEM
  ibrav = 0, nat = 3, ntyp = 3
/
ATOMIC_SPECIES
Ag 107.87 Ag.upf
Tb 158.93 Tb.upf
Ce 140.12 Ce.upf
CELL_PARAMETERS angstrom
3.455 0.000 0.000
0.000 5.112 0.000
0.000 -2.556 4.427
ATOMIC_POSITIONS crystal
Ag 0.355 0.333 0.667
Tb 0.624 0.667 0.333
Ce 0.020 0.000 0.000
```

---

Entry from the Alexandria database: an optimized crystal structure of Hf15Zr2Pb2 (PBE). Values from VASP.

Calculated values
Density in g/cm3: 11.83
Calculated total energy in eV/f.u.: -165.3
DOS(E_F) in states/eV/atom: 1.80

Quantum ESPRESSO input file:
```
&SYSTEM
  ibrav = 0, nat = 19, ntyp = 3
/
ATOMIC_SPECIES
Hf 178.49 Hf.upf
Pb 207.20 Pb.upf
Zr 91.22 Zr.upf
CELL_PARAMETERS angstrom
3.086 3.563 -6.256
-5.768 -1.017 -5.202
-3.552 6.968 0.439
ATOMIC_POSITIONS crystal
Hf 0.000 0.500 0.000
Hf 0.631 0.631 0.162
Hf 0.500 0.000 0.000
Hf 0.000 0.299 0.701
Hf 0.000 0.000 0.500
Hf 0.299 0.701 0.000
Pb 0.299 0.299 0.299
Hf 0.299 0.000 0.701
Hf 0.701 0.000 0.299
Pb 0.701 0.701 0.701
Hf 0.369 0.838 0.369
Hf 0.369 0.369 0.838
Hf 0.162 0.631 0.631
Hf 0.000 0.701 0.299
Hf 0.838 0.369 0.369
Zr 0.914 0.914 0.914
Hf 0.631 0.162 0.631
Zr 0.086 0.086 0.086
Hf 0.701 0.299 0.000
```

---

Entry from the Alexandria database: an optimized crystal structure of CaCr2Cl (PBE). Values from VASP.

Calculated values
Density in g/cm3: 3.17
Offset from the most stable computed form in eV per formula unit: 1.880
Energy relative to the elements, uncorrected in eV per atom: 0.320
DOS(E_F) in states/eV/atom: 1.00

Quantum ESPRESSO input file:
```
&SYSTEM
  ibrav = 0, nat = 4, ntyp = 3
/
ATOMIC_SPECIES
Cl 35.45 Cl.upf
Cr 52.00 Cr.upf
Ca 40.08 Ca.upf
CELL_PARAMETERS angstrom
-0.540 -1.395 3.043
2.606 -3.540 -1.161
4.896 2.886 2.191
ATOMIC_POSITIONS crystal
Cl 0.000 0.500 0.500
Cr 0.000 0.000 0.000
Ca 0.500 0.000 0.500
Cr 0.500 0.500 0.000
```